DFT (PBE) results for a geometry-optimized La2GeIr2 structure.

Raw total energy in eV for the cell shown: -70.46
E_form in eV per atom: -0.607

a = 7.421 Å, b = 7.421 Å, c = 4.141 Å
α = 90.00°, β = 90.00°, γ = 90.00°
Atoms (fractional coordinates):
1 Ir 0.873 0.627 0.000
2 La 0.318 0.182 0.500
3 Ir 0.373 0.873 0.000
4 La 0.682 0.818 0.500
5 Ge 0.000 0.000 0.000
6 Ir 0.127 0.373 0.000
7 La 0.818 0.318 0.500
8 Ge 0.500 0.500 0.000
9 La 0.182 0.682 0.500
10 Ir 0.627 0.127 0.000